(1)
A relaxed structure of Pa2CI, computed with GGA-PBE.

Properties
Symmetry: R-3m
Energy relative to the elements, uncorrected: -0.44 eV/atom
V: 21.94 Å³/atom

a b c (Å): 3.5556 3.5556 8.2756
angles (deg): 77.59 77.59 60.00
Element x y z (fractional)
I (0.5000, 0.5000, 0.5000)
C (0.0000, 0.0000, 0.0000)
Pa (0.7251, 0.7251, 0.8248)
Pa (0.2749, 0.2749, 0.1752)



(2)
A relaxed structure of Pa2CI2, computed with GGA-PBE.

Properties
Symmetry: C2/m
Energy relative to the elements, uncorrected: -0.69 eV/atom
V: 28.93 Å³/atom

a b c (Å): 3.7570 3.7569 12.0110
angles (deg): 82.06 81.00 60.00
Element x y z (fractional)
Pa (0.7084, 0.1953, 0.3880)
Pa (0.2916, 0.8047, 0.6120)
C (0.0000, 0.5000, 0.5000)
I (0.4474, 0.9117, 0.1935)
I (0.5526, 0.0883, 0.8065)



(3)
A relaxed structure of PaCI, computed with GGA-PBE.

Properties
Symmetry: I4mm
Energy relative to the elements, uncorrected: 0.04 eV/atom
V: 23.10 Å³/atom

a b c (Å): 3.3933 3.3933 6.4790
angles (deg): 105.18 105.18 90.00
Element x y z (fractional)
I (0.9993, 0.9993, 0.9986)
C (0.2671, 0.2671, 0.5343)
Pa (0.7335, 0.7335, 0.4671)